(1)
Computed, not measured: a relaxed HoH3Pd3 crystal at the GGA-PBE level of DFT.

```
data_HoH3Pd3
_cell_length_a 5.5309
_cell_length_b 5.5309
_cell_length_c 19.6416
_cell_angle_alpha 90.00
_cell_angle_beta 90.00
_cell_angle_gamma 120.00
_symmetry_space_group_name_H-M 'R -3'
_symmetry_Int_Tables_number 148
_symmetry_space_group_name_Hall '-R 3'
loop_
_atom_site_label
_atom_site_type_symbol
_atom_site_fract_x
_atom_site_fract_y
_atom_site_fract_z
Ho1 Ho 0.0000 0.0000 0.1839
H1 H 0.0003 0.2629 0.7265
Pd1 Pd 0.0007 0.4063 0.2703
```

## Properties
Offset from the most stable computed form   247.5 meV/atom

(2)
Computed, not measured: a relaxed SbTe crystal at the GGA-PBE level of DFT.

```
data_SbTe
_cell_length_a 5.2188
_cell_length_b 5.2188
_cell_length_c 10.9059
_cell_angle_alpha 90.00
_cell_angle_beta 90.00
_cell_angle_gamma 120.00
_symmetry_space_group_name_H-M 'P 63/m m c'
_symmetry_Int_Tables_number 194
_symmetry_space_group_name_Hall '-P 6c 2c'
loop_
_atom_site_label
_atom_site_type_symbol
_atom_site_fract_x
_atom_site_fract_y
_atom_site_fract_z
Sb1 Sb 0.3333 0.6667 0.0353
Te1 Te 0.0000 0.0000 0.2500
Te2 Te 0.3333 0.6667 0.7500
```

## Properties
Offset from the most stable computed form   380.0 meV/atom

(3)
Computed, not measured: a relaxed TbAl2F8 crystal at the GGA-PBE level of DFT.

```
data_TbAl2F8
_cell_length_a 10.791
_cell_length_b 5.817
_cell_length_c 4.640
_cell_angle_alpha 90.00
_cell_angle_beta 96.62
_cell_angle_gamma 90.00
_symmetry_space_group_name_H-M 'C 1 2/m 1'
_symmetry_Int_Tables_number 12
_symmetry_space_group_name_Hall '-C 2y'
loop_
_atom_site_label
_atom_site_type_symbol
_atom_site_fract_x
_atom_site_fract_y
_atom_site_fract_z
Tb1 Tb 0.000 0.000 0.000
Al1 Al 0.225 0.500 0.483
F1 F 0.117 0.500 0.727
F2 F 0.161 0.219 0.314
F3 F 0.177 0.000 0.799
```

## Properties
Total energy   -126.46 eV per cell

(4)
Computed, not measured: a relaxed LaTb7Ho12 crystal at the GGA-PBE level of DFT.

```
data_LaTb7Ho12
_cell_length_a 12.0217
_cell_length_b 12.0217
_cell_length_c 15.7264
_cell_angle_alpha 90.00
_cell_angle_beta 90.00
_cell_angle_gamma 120.00
_symmetry_space_group_name_H-M 'R -3'
_symmetry_Int_Tables_number 148
_symmetry_space_group_name_Hall '-R 3'
loop_
_atom_site_label
_atom_site_type_symbol
_atom_site_fract_x
_atom_site_fract_y
_atom_site_fract_z
La1 La 0.0000 0.0000 0.0000
Tb1 Tb 0.0000 0.0000 0.5000
Tb2 Tb 0.0471 0.5862 0.5841
Ho1 Ho 0.0210 0.4494 0.2157
Ho2 Ho 0.0502 0.1889 0.2961
```

## Properties
Formation enthalpy at 0 K   0.2385 eV/atom
Offset from the most stable computed form   0.0 meV/atom